1.
# meta-GGA SCAN MgZr4Co, PBEsol geometry
# N(E_F): 1.20 states/eV per atom
# VASP energy: -23.586 eV/atom
# M_tot: 7.0 μB/cell
# ρ: 5.96 g cm⁻³
# Calculated formation energy: 3.56 eV per formula unit
data_MgZr4Co
_chemical_formula_sum 'Mg4 Zr16 Co4'
_cell_length_a 7.9359
_cell_length_b 7.9359
_cell_length_c 7.9359
_cell_angle_alpha 90.00
_cell_angle_beta 90.00
_cell_angle_gamma 90.00
_space_group_name_H-M_alt 'F -4 3 m'
_space_group_IT_number 216
_space_group_name_Hall 'F -4 2 3'
loop_
_atom_site_label
_atom_site_fract_x
_atom_site_fract_y
_atom_site_fract_z
Mg1 0.0000 0.0000 0.0000
Zr1 0.1241 0.1241 0.3759
Co1 0.2500 0.2500 0.7500

2.
# meta-GGA SCAN MgZrCo, PBEsol geometry
# N(E_F): 1.29 states/eV per atom
# VASP energy: -16.736 eV/atom
# M_tot: 0.0 μB/cell
# ρ: 4.90 g cm⁻³
# Relative energy among the computed polymorphs: 1024 meV/atom
# Calculated formation energy: 2.77 eV per formula unit
data_MgZrCo
_chemical_formula_sum 'Mg4 Zr4 Co4'
_cell_length_a 6.1849
_cell_length_b 6.1849
_cell_length_c 6.1849
_cell_angle_alpha 90.00
_cell_angle_beta 90.00
_cell_angle_gamma 90.00
_space_group_name_H-M_alt 'F -4 3 m'
_space_group_IT_number 216
_space_group_name_Hall 'F -4 2 3'
loop_
_atom_site_label
_atom_site_fract_x
_atom_site_fract_y
_atom_site_fract_z
Mg1 0.0000 0.0000 0.0000
Zr1 0.2500 0.2500 0.2500
Co1 0.0000 0.0000 0.5000

3.
# meta-GGA SCAN MnCo2, PBEsol geometry
# N(E_F): 0.49 states/eV per atom
# VASP energy: -17.758 eV/atom
# M_tot: 13.7 μB/cell
# ρ: 8.65 g cm⁻³
# Calculated formation energy: -0.41 eV per formula unit
data_MnCo2
_chemical_formula_sum 'Mn2 Co4'
_cell_length_a 2.7967
_cell_length_b 2.7967
_cell_length_c 8.4859
_cell_angle_alpha 90.00
_cell_angle_beta 90.00
_cell_angle_gamma 90.00
_space_group_name_H-M_alt 'I 4/m m m'
_space_group_IT_number 139
_space_group_name_Hall '-I 4 2'
loop_
_atom_site_label
_atom_site_fract_x
_atom_site_fract_y
_atom_site_fract_z
Mn1 0.0000 0.0000 0.0000
Co1 0.0000 0.0000 0.3314

4.
# meta-GGA SCAN MnCo5, PBEsol geometry
# N(E_F): 0.94 states/eV per atom
# VASP energy: -17.314 eV/atom
# M_tot: 10.3 μB/cell
# ρ: 9.54 g cm⁻³
# Calculated formation energy: 0.89 eV per formula unit
data_MnCo5
_chemical_formula_sum 'Mn2 Co10'
_cell_length_a 8.9112
_cell_length_b 2.4463
_cell_length_c 5.7622
_cell_angle_alpha 90.00
_cell_angle_beta 104.24
_cell_angle_gamma 90.00
_space_group_name_H-M_alt 'C 1 m 1'
_space_group_IT_number 8
loop_
_space_group_symop_operation_xyz
'x,y,z'
'x,-y,z'
'x+1/2,y+1/2,z'
'x+1/2,-y+1/2,z'
loop_
_atom_site_label
_atom_site_fract_x
_atom_site_fract_y
_atom_site_fract_z
Mn1 0.0000 0.0000 0.0000
Co1 0.1107 0.5000 0.7238
Co2 0.1667 0.5000 0.3330
Co3 0.2780 0.0000 0.0570
Co4 0.3334 0.0000 0.6670
Co5 0.4455 0.5000 0.3887

5.
# meta-GGA SCAN Mn3Co, PBEsol geometry
# N(E_F): 0.95 states/eV per atom
# VASP energy: -17.873 eV/atom
# M_tot: 3.7 μB/cell
# ρ: 9.15 g cm⁻³
# Calculated formation energy: 0.58 eV per formula unit
data_Mn3Co
_chemical_formula_sum 'Mn12 Co4'
_cell_length_a 4.2173
_cell_length_b 7.8516
_cell_length_c 4.9032
_cell_angle_alpha 90.00
_cell_angle_beta 90.00
_cell_angle_gamma 90.00
_space_group_name_H-M_alt 'P n m a'
_space_group_IT_number 62
loop_
_space_group_symop_operation_xyz
'x,y,z'
'-x,-y,-z'
'-x+1/2,-y,z+1/2'
'x+1/2,y,-z+1/2'
'x+1/2,-y+1/2,-z+1/2'
'-x+1/2,y+1/2,z+1/2'
'-x,y+1/2,-z'
'x,-y+1/2,z'
loop_
_atom_site_label
_atom_site_fract_x
_atom_site_fract_y
_atom_site_fract_z
Mn1 0.0890 0.2500 0.1194
Mn2 0.2453 0.9998 0.3719
Co1 0.0858 0.2500 0.6242

6.
# meta-GGA SCAN Mn3Co, PBEsol geometry
# N(E_F): 0.72 states/eV per atom
# VASP energy: -18.191 eV/atom
# M_tot: 4.5 μB/cell
# ρ: 8.41 g cm⁻³
# Calculated formation energy: -0.70 eV per formula unit
data_Mn3Co
_chemical_formula_sum 'Mn3 Co1'
_cell_length_a 3.9736
_cell_length_b 3.9736
_cell_length_c 2.7970
_cell_angle_alpha 90.00
_cell_angle_beta 90.00
_cell_angle_gamma 90.00
_space_group_name_H-M_alt 'P 4/m m m'
_space_group_IT_number 123
_space_group_name_Hall '-P 4 2'
loop_
_atom_site_label
_atom_site_fract_x
_atom_site_fract_y
_atom_site_fract_z
Mn1 0.0000 0.0000 0.0000
Mn2 0.0000 0.5000 0.5000
Co1 0.5000 0.5000 0.0000

7.
# meta-GGA SCAN MnCo2, PBEsol geometry
# N(E_F): 1.06 states/eV per atom
# VASP energy: -17.429 eV/atom
# M_tot: 3.5 μB/cell
# ρ: 9.57 g cm⁻³
# Calculated formation energy: 0.58 eV per formula unit
data_MnCo2
_chemical_formula_sum 'Mn8 Co16'
_cell_length_a 3.4276
_cell_length_b 3.4276
_cell_length_c 20.4116
_cell_angle_alpha 90.00
_cell_angle_beta 90.00
_cell_angle_gamma 90.00
_space_group_name_H-M_alt 'I 41/a m d'
_space_group_IT_number 141
loop_
_space_group_symop_operation_xyz
'x,y,z'
'-x,-y,-z'
'-y+1/4,x+3/4,z+1/4'
'y+1/4,-x+3/4,-z+1/4'
'-x+1/2,-y,z+1/2'
'x+1/2,y,-z+1/2'
'y+1/4,-x+1/4,z+3/4'
'-y+1/4,x+1/4,-z+3/4'
'x,-y,-z'
'-x,y,z'
'-y+1/4,-x+1/4,-z+3/4'
'y+1/4,x+1/4,z+3/4'
'-x+1/2,y,-z+1/2'
'x+1/2,-y,z+1/2'
'y+1/4,x+3/4,-z+1/4'
'-y+1/4,-x+3/4,z+1/4'
'x+1/2,y+1/2,z+1/2'
'-x+1/2,-y+1/2,-z+1/2'
'-y+3/4,x+1/4,z+3/4'
'y+3/4,-x+1/4,-z+3/4'
'-x,-y+1/2,z'
'x,y+1/2,-z'
'y+3/4,-x+3/4,z+1/4'
'-y+3/4,x+3/4,-z+1/4'
'x+1/2,-y+1/2,-z+1/2'
'-x+1/2,y+1/2,z+1/2'
'-y+3/4,-x+3/4,-z+1/4'
'y+3/4,x+3/4,z+1/4'
'-x,y+1/2,-z'
'x,-y+1/2,z'
'y+3/4,x+1/4,-z+3/4'
'-y+3/4,-x+1/4,z+3/4'
loop_
_atom_site_label
_atom_site_fract_x
_atom_site_fract_y
_atom_site_fract_z
Mn1 0.0000 0.2500 0.2904
Co1 0.0000 0.2500 0.1237
Co2 0.0000 0.2500 0.7918

8.
# meta-GGA SCAN MnCo5, PBEsol geometry
# N(E_F): 0.76 states/eV per atom
# VASP energy: -17.354 eV/atom
# M_tot: 4.2 μB/cell
# ρ: 9.52 g cm⁻³
# Calculated formation energy: 0.65 eV per formula unit
data_MnCo5
_chemical_formula_sum 'Mn1 Co5'
_cell_length_a 4.2446
_cell_length_b 4.2446
_cell_length_c 3.9095
_cell_angle_alpha 90.00
_cell_angle_beta 90.00
_cell_angle_gamma 120.00
_space_group_name_H-M_alt 'P -6 2 m'
_space_group_IT_number 189
_space_group_name_Hall 'P -6 -2'
loop_
_atom_site_label
_atom_site_fract_x
_atom_site_fract_y
_atom_site_fract_z
Mn1 0.0000 0.0000 0.0000
Co1 0.0000 0.6634 0.5000
Co2 0.3333 0.6667 0.0000

Question: Number 8 is which compound?
Answer: MnCo5

Question: What is the VASP energy in the second record?
Answer: -16.736 eV/atom